Entry 1:
The following is a DFT calculation (GGA-PBE) of crystalline Sm6RuPb2 at its relaxed geometry.

For the density of states at the Fermi level, the calculation gives 15.4 states/eV per cell. For the calculated formation energy, the calculation gives -2.1 eV per formula unit. Its total energy is -5.24 eV per atom. Its magnetization is 0.00 μB/cell.

The structure belongs to space group Immm (No. 71); the cell edges are 5.4703, 7.2315 and 14.9073 Å and the angles 90.00°, 90.00° and 90.00°. The asymmetric unit holds Sm at (0.0000, 0.2236, 0.0000), Sm at (0.0000, 0.2532, 0.3545), Ru at (0.0000, 0.5000, 0.5000) and Pb at (0.0000, 0.5000, 0.1750).

Entry 2:
The following is a DFT calculation (GGA-PBE) of crystalline Sn2SbPbSe at its relaxed geometry.

The distance to the lowest polymorph of the same formula is 0.0000 eV per atom. For the density of states at the Fermi level, the calculation gives 3.2 states/eV per cell. As for the formation energy from raw total energies: 296 kJ/mol of formula units. Its total energy is -3.25 eV per atom. Its magnetization is 0.00 μB/cell.

The structure belongs to space group P4/mmm (No. 123); the cell edges are 5.6803, 5.6803 and 6.0578 Å and the angles 90.00°, 90.00° and 90.00°. The asymmetric unit holds Sn at (0.0000, 0.5000, 0.0000), Sb at (0.0000, 0.0000, 0.0000), Pb at (0.0000, 0.0000, 0.5000) and Se at (0.5000, 0.5000, 0.5000).

Entry 3:
The following is a DFT calculation (GGA-PBE) of crystalline BaCaSbI at its relaxed geometry.

For the density of states at the Fermi level, the calculation gives 0.0 states/eV per cell. As for the formation energy from raw total energies: -510 kJ/mol of formula units. Its total energy is -3.72 eV per atom. Its magnetization is 0.00 μB/cell.

The structure belongs to space group R-3m (No. 166, hexagonal axes); the cell edges are 5.2054, 5.2054 and 46.9471 Å and the angles 90.00°, 90.00° and 120.00°. The asymmetric unit holds Ba at (0.0000, 0.0000, 0.0906), Ca at (0.0000, 0.0000, 0.3088), Sb at (0.0000, 0.0000, 0.3780) and I at (0.0000, 0.0000, 0.2057).

Entry 4:
The following is a DFT calculation (GGA-PBE) of crystalline KCdTeI2 at its relaxed geometry.

The distance to the lowest polymorph of the same formula is 0.6885 eV per atom. For the density of states at the Fermi level, the calculation gives 8.0 states/eV per cell. As for the formation energy from raw total energies: 76 kJ/mol of formula units. Its total energy is -1.49 eV per atom. Its magnetization is 3.04 μB/cell.

The structure belongs to space group P4/mmm (No. 123); the cell edges are 6.5970, 6.5970 and 6.6773 Å and the angles 90.00°, 90.00° and 90.00°. The asymmetric unit holds K at (0.0000, 0.0000, 0.0000), Cd at (0.5000, 0.5000, 0.5000), Te at (0.0000, 0.0000, 0.5000) and I at (0.0000, 0.5000, 0.0000).

Please write out number 2 again, unchanged.
The following is a DFT calculation (GGA-PBE) of crystalline Sn2SbPbSe at its relaxed geometry.

The distance to the lowest polymorph of the same formula is 0.0000 eV per atom. For the density of states at the Fermi level, the calculation gives 3.2 states/eV per cell. As for the formation energy from raw total energies: 296 kJ/mol of formula units. Its total energy is -3.25 eV per atom. Its magnetization is 0.00 μB/cell.

The structure belongs to space group P4/mmm (No. 123); the cell edges are 5.6803, 5.6803 and 6.0578 Å and the angles 90.00°, 90.00° and 90.00°. The asymmetric unit holds Sn at (0.0000, 0.5000, 0.0000), Sb at (0.0000, 0.0000, 0.0000), Pb at (0.0000, 0.0000, 0.5000) and Se at (0.5000, 0.5000, 0.5000).

Question: magnetization of number 1 (Sm6RuPb2)?
Answer: 0.00 μB/cell

Copy entry 3 word for word.
The following is a DFT calculation (GGA-PBE) of crystalline BaCaSbI at its relaxed geometry.

For the density of states at the Fermi level, the calculation gives 0.0 states/eV per cell. As for the formation energy from raw total energies: -510 kJ/mol of formula units. Its total energy is -3.72 eV per atom. Its magnetization is 0.00 μB/cell.

The structure belongs to space group R-3m (No. 166, hexagonal axes); the cell edges are 5.2054, 5.2054 and 46.9471 Å and the angles 90.00°, 90.00° and 120.00°. The asymmetric unit holds Ba at (0.0000, 0.0000, 0.0906), Ca at (0.0000, 0.0000, 0.3088), Sb at (0.0000, 0.0000, 0.3780) and I at (0.0000, 0.0000, 0.2057).

Question: What is the magnetization in the second record?
Answer: 0.00 μB/cell